1.
A relaxed Re2SbPd2 crystal. Source: the Alexandria database, functional PBE-GGA.

abc: 8.0257 8.0257 2.7754
angles: 90.00 90.00 90.00
Element x y z (fractional)
Re 0.1051 0.6051 0.5000
Re 0.6051 0.8949 0.5000
Re 0.8949 0.3949 0.5000
Re 0.3949 0.1051 0.5000
Pd 0.3149 0.8149 0.0000
Pd 0.8149 0.6851 0.0000
Pd 0.6851 0.1851 0.0000
Pd 0.1851 0.3149 0.0000
Sb 0.0000 0.0000 0.0000
Sb 0.5000 0.5000 0.0000

Calculated values
Density   13.13 g cm⁻³
Total magnetic moment   0.00 μB per formula unit
Formation energy without anion corrections   0.49 eV/atom
Energy relative to the lowest polymorph listed for this composition   161 meV/atom
Fermi-level density of states   7.12 states/eV per cell

***

2.
A relaxed ReSb2Pd crystal. Source: the Alexandria database, functional PBE-GGA.

abc: 6.0346 6.0346 7.3413
angles: 65.73 65.73 90.00
Element x y z (fractional)
Re 0.0000 0.0000 0.0000
Re 0.7500 0.2500 0.5000
Pd 0.5000 0.5000 0.0000
Pd 0.2500 0.7500 0.5000
Sb 0.6328 0.1250 0.2500
Sb 0.1172 0.6250 0.2500
Sb 0.3750 0.3672 0.7500
Sb 0.8750 0.8828 0.7500

Calculated values
Density   8.18 g cm⁻³
Total magnetic moment   0.00 μB per formula unit
Formation energy without anion corrections   0.56 eV/atom
Energy relative to the lowest polymorph listed for this composition   191 meV/atom
Fermi-level density of states   4.91 states/eV per cell

***

3.
A relaxed Re2SbPd crystal. Source: the Alexandria database, functional PBE-GGA.

abc: 5.9517 5.9517 6.9616
angles: 64.69 64.69 90.00
Element x y z (fractional)
Re 0.5954 0.1250 0.2500
Re 0.1546 0.6250 0.2500
Re 0.3750 0.4046 0.7500
Re 0.8750 0.8454 0.7500
Pd 0.5000 0.5000 0.0000
Pd 0.2500 0.7500 0.5000
Sb 0.0000 0.0000 0.0000
Sb 0.7500 0.2500 0.5000

Calculated values
Density   10.15 g cm⁻³
Total magnetic moment   0.00 μB per formula unit
Formation energy without anion corrections   1.66 eV/atom
Fermi-level density of states   12.22 states/eV per cell

***

> Among the records above, which one has the highest Fermi-level density of states?

Re2SbPd

***

> What is the Fermi-level density of states in the second record?

4.91 states/eV per cell